1.
A relaxed Rb4Sm3ScO8 crystal. Source: Alexandria, functional PBE.

Lattice parameters (Å, degrees): 7.7305 7.7305 7.7305 54.42 54.42 54.42
Sites, in units of the cell vectors:
Rb: 0.0000 0.0000 0.0000
Rb: 0.0000 0.5000 0.5000
Rb: 0.5000 0.0000 0.5000
Rb: 0.5000 0.5000 0.0000
Sm: 0.0000 0.0000 0.5000
Sm: 0.0000 0.5000 0.0000
Sm: 0.5000 0.0000 0.0000
Sc: 0.5000 0.5000 0.5000
O: 0.2268 0.2268 0.2268
O: 0.2423 0.7161 0.7161
O: 0.2839 0.2839 0.7577
O: 0.2839 0.7577 0.2839
O: 0.7161 0.2423 0.7161
O: 0.7161 0.7161 0.2423
O: 0.7577 0.2839 0.2839
O: 0.7732 0.7732 0.7732

Properties
space-group type	No. 166
formation energy (no corrections)	-41.5	eV per formula unit

***

2.
A relaxed Nd2Ho3ErSb6 crystal. Source: Alexandria, functional PBE.

Lattice parameters (Å, degrees): 9.8772 9.8772 8.8348 102.88 102.88 25.86
Sites, in units of the cell vectors:
Nd: 0.1656 0.1656 0.3323
Nd: 0.8344 0.8344 0.6677
Ho: 0.1681 0.1681 0.8340
Ho: 0.5000 0.5000 0.5000
Ho: 0.8319 0.8319 0.1660
Er: 0.5000 0.5000 0.0000
Sb: 0.0032 0.0032 0.7526
Sb: 0.3343 0.3343 0.9244
Sb: 0.3354 0.3354 0.4110
Sb: 0.6646 0.6646 0.5890
Sb: 0.6657 0.6657 0.0756
Sb: 0.9968 0.9968 0.2474

Properties
space-group type	No. 12
formation energy (no corrections)	-13.6	eV per formula unit

***

3.
A relaxed MgTa2Al2 crystal. Source: Alexandria, functional PBE.

Lattice parameters (Å, degrees): 8.0541 8.0541 2.9160 90.00 90.00 90.00
Sites, in units of the cell vectors:
Mg: 0.0000 0.0000 0.0000
Mg: 0.5000 0.5000 0.0000
Ta: 0.1176 0.3824 0.0000
Ta: 0.3824 0.8824 0.0000
Ta: 0.6176 0.1176 0.0000
Ta: 0.8824 0.6176 0.0000
Al: 0.1776 0.6776 0.5000
Al: 0.3224 0.1776 0.5000
Al: 0.6776 0.8224 0.5000
Al: 0.8224 0.3224 0.5000

Properties
energy above the lowest structure with this stoichiometry	6	meV/atom
space-group type	No. 127

***

4.
A relaxed La4RhI2Br crystal. Source: Alexandria, functional PBE.

Lattice parameters (Å, degrees): 7.7891 4.2050 8.2276 90.00 107.00 90.00
Sites, in units of the cell vectors:
La: 0.2059 0.0000 0.1973
La: 0.2476 0.5000 0.7830
La: 0.7524 0.5000 0.2170
La: 0.7941 0.0000 0.8027
Rh: 0.0000 0.5000 0.0000
I: 0.0000 0.0000 0.5000
I: 0.5000 0.5000 0.5000
Br: 0.5000 0.0000 0.0000

Properties
space-group type	No. 10
formation energy (no corrections)	-8.5	eV per formula unit

***

5.
A relaxed TlZn2Cr crystal. Source: Alexandria, functional PBE.

Lattice parameters (Å, degrees): 5.1498 5.1498 5.1498 133.16 133.16 68.40
Sites, in units of the cell vectors:
Tl: 0.0000 0.0000 0.0000
Zn: 0.2500 0.7500 0.5000
Zn: 0.7500 0.2500 0.5000
Cr: 0.5000 0.5000 0.0000

Properties
energy above the lowest structure with this stoichiometry	30	meV/atom
space-group type	No. 139

***

6.
A relaxed HfIr2Au2 crystal. Source: Alexandria, functional PBE.

Lattice parameters (Å, degrees): 7.1592 7.1592 7.1592 149.92 149.92 43.05
Sites, in units of the cell vectors:
Hf: 0.0000 0.0000 0.0000
Ir: 0.2500 0.7500 0.5000
Ir: 0.7500 0.2500 0.5000
Au: 0.4009 0.4009 0.0000
Au: 0.5991 0.5991 0.0000

Properties
energy above the lowest structure with this stoichiometry	59	meV/atom
space-group type	No. 139

***

7.
A relaxed LiSc3Hg12 crystal. Source: Alexandria, functional PBE.

Lattice parameters (Å, degrees): 4.4406 4.4406 18.0765 90.00 90.00 90.00
Sites, in units of the cell vectors:
Li: 0.0000 0.0000 0.0000
Sc: 0.0000 0.0000 0.2436
Sc: 0.0000 0.0000 0.5000
Sc: 0.0000 0.0000 0.7564
Hg: 0.0000 0.5000 0.1235
Hg: 0.0000 0.5000 0.3743
Hg: 0.0000 0.5000 0.6257
Hg: 0.0000 0.5000 0.8765
Hg: 0.5000 0.0000 0.1235
Hg: 0.5000 0.0000 0.3743
Hg: 0.5000 0.0000 0.6257
Hg: 0.5000 0.0000 0.8765
Hg: 0.5000 0.5000 0.0000
Hg: 0.5000 0.5000 0.2497
Hg: 0.5000 0.5000 0.5000
Hg: 0.5000 0.5000 0.7503

Properties
electronic total energy	-1.735	eV/atom
space-group type	No. 123

***

8.
A relaxed MgScCd2Pd crystal. Source: Alexandria, functional PBE.

Lattice parameters (Å, degrees): 5.4080 5.4080 5.5629 90.00 90.00 90.00
Sites, in units of the cell vectors:
Mg: 0.0000 0.0000 0.0000
Sc: 0.0000 0.0000 0.5000
Cd: 0.0000 0.5000 0.5000
Cd: 0.5000 0.0000 0.5000
Pd: 0.5000 0.5000 0.0000

Properties
electronic total energy	-1.987	eV/atom
space-group type	No. 123

***

9.
A relaxed Cr2FeCu crystal. Source: Alexandria, functional PBE.

Lattice parameters (Å, degrees): 4.7061 4.7061 2.4012 96.67 96.67 117.22
Sites, in units of the cell vectors:
Cr: 0.0000 0.5000 0.0000
Cr: 0.5000 0.0000 0.0000
Fe: 0.0000 0.0000 0.5000
Cu: 0.5000 0.5000 0.5000

Properties
energy above the lowest structure with this stoichiometry	96	meV/atom
space-group type	No. 12

***

10.
A relaxed ErTiBr2 crystal. Source: Alexandria, functional PBE.

Lattice parameters (Å, degrees): 9.6553 9.6553 9.6553 20.65 20.65 20.65
Sites, in units of the cell vectors:
Er: 0.0000 0.0000 0.0000
Ti: 0.5000 0.5000 0.5000
Br: 0.1041 0.1041 0.1041
Br: 0.8959 0.8959 0.8959

Properties
space-group type	No. 166
formation energy (no corrections)	-2.2	eV per formula unit

***

11.
A relaxed Fe2PCl crystal. Source: Alexandria, functional PBE.

Lattice parameters (Å, degrees): 2.9607 3.0623 6.2800 90.00 90.00 90.00
Sites, in units of the cell vectors:
Fe: 0.0000 0.0000 0.1810
Fe: 0.0000 0.0000 0.8190
P: 0.5000 0.5000 0.0000
Cl: 0.5000 0.0000 0.5000

Properties
energy above the lowest structure with this stoichiometry	223	meV/atom
space-group type	No. 47
formation energy (no corrections)	-0.3	eV per formula unit

***

12.
A relaxed Tl2ReTe crystal. Source: Alexandria, functional PBE.

Lattice parameters (Å, degrees): 3.4261 3.4498 9.1716 90.00 100.42 90.00
Sites, in units of the cell vectors:
Tl: 0.0000 0.0000 0.0000
Tl: 0.3708 0.5000 0.7313
Re: 0.5854 0.5000 0.1761
Te: 0.6949 0.0000 0.3880

Properties
energy above the lowest structure with this stoichiometry	177	meV/atom
space-group type	No. 6
formation energy (no corrections)	2.3	eV per formula unit

***

13.
A relaxed Sr2Zn4CdAg3 crystal. Source: Alexandria, functional PBE.

Lattice parameters (Å, degrees): 4.4570 4.4570 11.4762 90.00 90.00 90.00
Sites, in units of the cell vectors:
Sr: 0.0000 0.5000 0.2441
Sr: 0.5000 0.0000 0.7559
Zn: 0.0000 0.0000 0.0000
Zn: 0.0000 0.5000 0.6407
Zn: 0.5000 0.0000 0.3593
Zn: 0.5000 0.5000 0.0000
Cd: 0.0000 0.0000 0.5000
Ag: 0.0000 0.5000 0.8695
Ag: 0.5000 0.0000 0.1305
Ag: 0.5000 0.5000 0.5000

Properties
electronic total energy	-2.002	eV/atom
space-group type	No. 115

***

14.
A relaxed BaEuDy crystal. Source: Alexandria, functional PBE.

Lattice parameters (Å, degrees): 8.8612 8.8612 8.8612 154.47 154.47 36.42
Sites, in units of the cell vectors:
Ba: 0.0000 0.0000 0.0000
Eu: 0.6881 0.6881 0.0000
Dy: 0.3312 0.3312 0.0000

Properties
energy above the lowest structure with this stoichiometry	4	meV/atom
space-group type	No. 107

***

15.
A relaxed Al2H2I7 crystal. Source: Alexandria, functional PBE.

Lattice parameters (Å, degrees): 9.5232 9.5232 7.7046 113.40 113.40 88.51
Sites, in units of the cell vectors:
Al: 0.2314 0.2314 0.1153
Al: 0.7686 0.7686 0.8847
H: 0.3443 0.6557 0.5000
H: 0.6557 0.3443 0.5000
I: 0.0000 0.0000 0.0000
I: 0.1708 0.4913 0.3610
I: 0.2693 0.2693 0.8301
I: 0.4913 0.1708 0.3610
I: 0.5087 0.8292 0.6390
I: 0.7307 0.7307 0.1699
I: 0.8292 0.5087 0.6390

Properties
electronic total energy	-2.546	eV/atom
space-group type	No. 12

***

16.
A relaxed LiSi2Tc2 crystal. Source: Alexandria, functional PBE.

Lattice parameters (Å, degrees): 5.9715 5.9715 5.9715 141.76 141.76 55.19
Sites, in units of the cell vectors:
Li: 0.0000 0.0000 0.0000
Si: 0.3895 0.3895 0.0000
Si: 0.6105 0.6105 0.0000
Tc: 0.2500 0.7500 0.5000
Tc: 0.7500 0.2500 0.5000

Properties
energy above the lowest structure with this stoichiometry	264	meV/atom
space-group type	No. 139
formation energy (no corrections)	-0.8	eV per formula unit

***

17.
A relaxed TbErCuHg crystal. Source: Alexandria, functional PBE.

Lattice parameters (Å, degrees): 5.0955 5.0955 5.0955 60.00 60.00 60.00
Sites, in units of the cell vectors:
Tb: 0.0000 0.0000 0.0000
Er: 0.5000 0.5000 0.5000
Cu: 0.7500 0.7500 0.7500
Hg: 0.2500 0.2500 0.2500

Properties
energy above the lowest structure with this stoichiometry	24	meV/atom
space-group type	No. 216

***

18.
A relaxed Na2Al17Si11B7H6O62 crystal. Source: Alexandria, functional PBE.

Lattice parameters (Å, degrees): 9.4811 9.4861 13.2860 98.59 98.76 114.43
Sites, in units of the cell vectors:
Na: 0.0000 0.0000 0.0000
Na: 0.4634 0.4551 0.4579
Al: 0.0238 0.4651 0.7937
Al: 0.1170 0.2869 0.2783
Al: 0.1835 0.8499 0.4070
Al: 0.1967 0.9732 0.6292
Al: 0.2867 0.1159 0.2792
Al: 0.3528 0.6845 0.9090
Al: 0.4641 0.6789 0.1333
Al: 0.4652 0.0292 0.7907
Al: 0.5174 0.9568 0.2971
Al: 0.6125 0.7936 0.7923
Al: 0.6778 0.3504 0.9044
Al: 0.6780 0.4620 0.1316
Al: 0.7825 0.6014 0.7871
Al: 0.8508 0.1847 0.4069
Al: 0.8856 0.8826 0.7015
Al: 0.9562 0.5171 0.2964
Al: 0.9638 0.1888 0.6280
Si: 0.1838 0.3730 0.9885
Si: 0.2679 0.8884 0.0806
Si: 0.3067 0.4808 0.6773
Si: 0.3719 0.1832 0.9885
Si: 0.3880 0.7676 0.5834
Si: 0.6798 0.8647 0.4866
Si: 0.7593 0.3802 0.5855
Si: 0.7937 0.9880 0.1774
Si: 0.8645 0.6759 0.4886
Si: 0.8878 0.2698 0.0798
Si: 0.9864 0.7937 0.1775
B: 0.1310 0.8018 0.7976
B: 0.1368 0.1363 0.4623
B: 0.2930 0.6222 0.3031
B: 0.4915 0.2939 0.6791
B: 0.6219 0.2921 0.3023
B: 0.6349 0.6353 0.9627
B: 0.8029 0.1311 0.8000
H: 0.0753 0.4594 0.4577
H: 0.1515 0.1512 0.7707
H: 0.4571 0.0770 0.4590
H: 0.5507 0.5490 0.2427
H: 0.5862 0.9603 0.9571
H: 0.9544 0.5857 0.9564
O: 0.0213 0.1701 0.4983
O: 0.0758 0.7945 0.0790
O: 0.0846 0.0847 0.7012
O: 0.1141 0.9087 0.2864
O: 0.1205 0.4001 0.6862
O: 0.1591 0.1587 0.1884
O: 0.1674 0.0187 0.4970
O: 0.1669 0.6863 0.8299
O: 0.1758 0.6643 0.3299
O: 0.1854 0.4737 0.8974
O: 0.2117 0.2114 0.3913
O: 0.2283 0.2289 0.9406
O: 0.2403 0.9102 0.7559
O: 0.2553 0.8277 0.5462
O: 0.2689 0.9965 0.9950
O: 0.2893 0.4829 0.3177
O: 0.2922 0.4896 0.0964
O: 0.3086 0.5763 0.5814
O: 0.3342 0.7644 0.0405
O: 0.3666 0.9906 0.1996
O: 0.3690 0.3504 0.6455
O: 0.3929 0.9949 0.3943
O: 0.4081 0.1274 0.6881
O: 0.4081 0.7328 0.2637
O: 0.4146 0.6162 0.7861
O: 0.4721 0.1837 0.8981
O: 0.4826 0.2885 0.3166
O: 0.4881 0.2913 0.0966
O: 0.4968 0.7852 0.4985
O: 0.4977 0.8723 0.7004
O: 0.5132 0.8927 0.8896
O: 0.5208 0.6704 0.9969
O: 0.5735 0.2960 0.5894
O: 0.6020 0.6012 0.1910
O: 0.6094 0.4020 0.7781
O: 0.6108 0.8999 0.1875
O: 0.6641 0.1755 0.3298
O: 0.6658 0.5179 0.9947
O: 0.6874 0.1648 0.8326
O: 0.6930 0.9714 0.4015
O: 0.7008 0.7024 0.6999
O: 0.7128 0.7116 0.4480
O: 0.7149 0.7136 0.8923
O: 0.7324 0.4065 0.2625
O: 0.7632 0.3355 0.0393
O: 0.7775 0.4932 0.5013
O: 0.7945 0.0776 0.0788
O: 0.8051 0.9729 0.5993
O: 0.8070 0.9868 0.8039
O: 0.8267 0.2535 0.5457
O: 0.8539 0.8548 0.1373
O: 0.8733 0.4961 0.6999
O: 0.8902 0.5116 0.8885
O: 0.8988 0.6108 0.1872
O: 0.9098 0.1160 0.2860
O: 0.9095 0.2395 0.7571
O: 0.9707 0.6882 0.4029
O: 0.9750 0.8049 0.5993
O: 0.9861 0.8034 0.8019
O: 0.9914 0.3678 0.1989
O: 0.9932 0.3932 0.3938
O: 0.9966 0.2713 0.9946

Properties
electronic total energy	-7.424	eV/atom
space-group type	No. 1

***

19.
A relaxed Cs2AgBr7 crystal. Source: Alexandria, functional PBE.

Lattice parameters (Å, degrees): 8.2619 8.2619 8.2619 123.35 123.35 84.29
Sites, in units of the cell vectors:
Cs: 0.2500 0.7500 0.5000
Cs: 0.7500 0.2500 0.5000
Ag: 0.0000 0.0000 0.0000
Br: 0.2073 0.2073 0.0000
Br: 0.2591 0.2591 0.5183
Br: 0.2591 0.7409 0.0000
Br: 0.5000 0.5000 0.0000
Br: 0.7409 0.2591 0.0000
Br: 0.7409 0.7409 0.4817
Br: 0.7927 0.7927 0.0000

Properties
space-group type	No. 139
formation energy (no corrections)	-7.9	eV per formula unit

***

20.
A relaxed Sm4HfAs5 crystal. Source: Alexandria, functional PBE.

Lattice parameters (Å, degrees): 7.1481 7.1481 7.1481 99.66 99.66 131.63
Sites, in units of the cell vectors:
Sm: 0.0956 0.6992 0.7947
Sm: 0.3008 0.0956 0.3964
Sm: 0.6992 0.9044 0.6036
Sm: 0.9044 0.3008 0.2053
Hf: 0.5000 0.5000 0.0000
As: 0.0000 0.0000 0.0000
As: 0.2145 0.4038 0.6182
As: 0.4038 0.7855 0.1893
As: 0.5962 0.2145 0.8107
As: 0.7855 0.5962 0.3818

Properties
electronic total energy	-6.609	eV/atom
space-group type	No. 87

***

For the records above, the corresponding D(E_F) values read 0.0 1.9 8.0 6.2 1.7 5.7 9.6 3.5 3.8 3.2 3.5 3.0 5.1 4.7 2.8 3.9 3.5 0.0 0.0 2.2 states/eV per cell.